An optimized crystal structure of CoGeNO. Source: the Open Quantum Materials Database, functional PBE with a Hubbard U.

```
data_CoGeNO
_chemical_formula_sum 'Co2 Ge2 N2 O2'
_space_group_name_H-M_alt 'P 1'
_space_group_IT_number 1
_cell_length_a 3.5980
_cell_length_b 3.5980
_cell_length_c 7.9685
_cell_angle_alpha 90.00
_cell_angle_beta 90.00
_cell_angle_gamma 90.00
loop_
_space_group_symop_operation_xyz
'x,y,z'
loop_
_atom_site_label
_atom_site_type_symbol
_atom_site_fract_x
_atom_site_fract_y
_atom_site_fract_z
Co1 Co 0.2500 0.7500 0.0000
Co2 Co 0.7500 0.2500 0.0000
Ge1 Ge 0.2500 0.2500 0.3692
Ge2 Ge 0.7500 0.7500 0.6308
N1 N 0.2500 0.2500 0.9238
N2 N 0.7500 0.7500 0.0762
O1 O 0.2500 0.7500 0.5000
O2 O 0.7500 0.2500 0.5000
```

Properties
Its total energy is -5.86 eV/atom. As for the space group: No. 129.